PBE Cd2Bi2I, relaxed; total magnetic moment = 0.0 μB/f.u.; DFT total energy = -2.1866 eV per atom; density = 7.53 g cm⁻³
1.0
-2.8304 2.8304 5.2987
2.8304 -2.8304 5.2987
2.8304 2.8304 -5.2987
Cd Bi I
2 2 1
direct
0.2500 0.7500 0.5000 Cd
0.7500 0.2500 0.5000 Cd
0.1417 0.1417 0.0000 Bi
0.8582 0.8582 0.0000 Bi
0.5000 0.5000 0.0000 I

PBE La4Ag2Sn, relaxed; total magnetic moment = 1.5 μB/f.u.; energy of formation = -0.29 eV per atom; DFT total energy = -4.4934 eV per atom; density = 6.81 g cm⁻³
1.0
2.6995 1.5585 8.6003
-2.6995 1.5585 8.6003
0.0000 -3.1171 8.6003
La Ag Sn
4 2 1
direct
0.1155 0.1155 0.1155 La
0.3690 0.3690 0.3690 La
0.6310 0.6310 0.6310 La
0.8845 0.8845 0.8845 La
0.2433 0.2433 0.2433 Ag
0.7567 0.7567 0.7567 Ag
0.5000 0.5000 0.5000 Sn

PBE BaTa2Mo, relaxed; total magnetic moment = 0.0 μB/f.u.; energy of formation = 1.37 eV per atom; DFT total energy = -7.7411 eV per atom; density = 11.77 g cm⁻³
1.0
-2.0541 2.0541 4.9772
2.0541 -2.0541 4.9772
2.0541 2.0541 -4.9772
Ba Ta Mo
1 2 1
direct
0.0000 0.0000 0.0000 Ba
0.2500 0.7500 0.5000 Ta
0.7500 0.2500 0.5000 Ta
0.5000 0.5000 0.0000 Mo

PBE ZrVGa2, relaxed; total magnetic moment = 1.6 μB/f.u.; energy of formation = -0.19 eV per atom; DFT total energy = -6.1154 eV per atom; density = 6.64 g cm⁻³
1.0
2.1256 1.2272 4.5007
-2.1256 1.2272 4.5007
0.0000 -2.4544 4.5007
Zr V Ga
1 1 2
direct
0.0000 0.0000 0.0000 Zr
0.5000 0.5000 0.5000 V
0.2307 0.2307 0.2307 Ga
0.7693 0.7693 0.7693 Ga

PBE RbMgSb, relaxed; total magnetic moment = 0.0 μB/f.u.; DFT total energy = -2.6812 eV per atom; density = 3.26 g cm⁻³
1.0
4.8530 0.0000 0.0000
-2.4265 4.2028 0.0000
0.0000 0.0000 5.7767
Rb Mg Sb
1 1 1
direct
0.0000 0.0000 0.0000 Rb
0.6667 0.3333 0.5000 Mg
0.3333 0.6667 0.5000 Sb

PBE Cs2U2AgS6, relaxed; total magnetic moment = 3.0 μB/f.u.; DFT total energy = -5.9192 eV per atom; density = 5.00 g cm⁻³
1.0
3.3840 -6.2128 0.0000
3.3840 6.2128 0.0000
-2.0201 0.0000 8.2386
Cs U Ag S
2 2 1 6
direct
0.1536 0.8464 0.0000 Cs
0.8464 0.1536 0.0000 Cs
0.3367 0.6633 0.5000 U
0.6633 0.3367 0.5000 U
0.0000 0.0000 0.5000 Ag
0.0474 0.4223 0.6811 S
0.2891 0.2891 0.3305 S
0.4223 0.0474 0.6811 S
0.5777 0.9526 0.3189 S
0.7109 0.7109 0.6695 S
0.9526 0.5777 0.3189 S

PBE CrCdRe2, relaxed; total magnetic moment = 0.0 μB/f.u.; energy of formation = 0.45 eV per atom; DFT total energy = -8.4122 eV per atom; density = 14.44 g cm⁻³
1.0
4.9487 -1.4366 0.0000
4.9487 1.4366 0.0000
-1.5943 0.0000 4.3411
Cr Cd Re
1 1 2
direct
0.0000 0.0000 0.0000 Cr
0.5000 0.5000 0.5000 Cd
0.2798 0.2798 0.7813 Re
0.7202 0.7202 0.2187 Re

PBE Mg2AlZnAu6, relaxed; total magnetic moment = 0.0 μB/f.u.; energy of formation = -0.36 eV per atom; DFT total energy = -3.1507 eV per atom; density = 12.55 g cm⁻³
1.0
4.8334 0.0000 0.0000
0.4363 5.2139 0.0000
1.3201 2.0176 6.9441
Mg Al Zn Au
2 1 1 6
direct
0.0587 0.3897 0.2130 Mg
0.9413 0.6103 0.7870 Mg
0.5000 0.5000 0.5000 Al
0.0000 0.0000 0.0000 Zn
0.0580 0.7921 0.3876 Au
0.4332 0.8844 0.7041 Au
0.4378 0.3087 0.8954 Au
0.5622 0.6913 0.1046 Au
0.5668 0.1156 0.2959 Au
0.9420 0.2079 0.6124 Au

PBE Cd2HgPb, relaxed; total magnetic moment = 0.0 μB/f.u.; energy of formation = 0.05 eV per atom; DFT total energy = -1.4099 eV per atom; density = 9.93 g cm⁻³
1.0
1.7814 1.0285 9.6258
-1.7814 1.0285 9.6258
0.0000 -2.0570 9.6258
Cd Hg Pb
2 1 1
direct
0.0000 0.0000 0.0000 Cd
0.1781 0.1781 0.1781 Cd
0.5890 0.5890 0.5890 Hg
0.4223 0.4223 0.4223 Pb

PBE CaHo2Al, relaxed; total magnetic moment = 0.0 μB/f.u.; energy of formation = -0.15 eV per atom; DFT total energy = -3.8700 eV per atom; density = 5.55 g cm⁻³
1.0
3.5924 0.0000 0.0000
0.0000 3.5924 0.0000
0.0000 0.0000 9.2097
Ca Ho Al
1 2 1
direct
0.0000 0.0000 0.0000 Ca
0.5000 0.5000 0.3074 Ho
0.5000 0.5000 0.6926 Ho
0.0000 0.0000 0.5000 Al

PBE Ti6ZnRh, relaxed; total magnetic moment = 0.0 μB/f.u.; energy of formation = -0.22 eV per atom; DFT total energy = -7.2191 eV per atom; density = 5.83 g cm⁻³
1.0
4.4487 0.0000 0.0000
0.0000 3.2127 4.5362
0.0000 -3.2127 4.5362
Ti Zn Rh
6 1 1
direct
0.0000 0.0000 0.0000 Ti
0.0000 0.0549 0.5091 Ti
0.0000 0.5091 0.0549 Ti
0.5000 0.2821 0.7653 Ti
0.5000 0.7653 0.2821 Ti
0.5000 0.7946 0.7946 Ti
0.0000 0.5561 0.5561 Zn
0.5000 0.2638 0.2638 Rh

PBE Ba3PaRe2N8, relaxed; total magnetic moment = 0.0 μB/f.u.; DFT total energy = -8.4959 eV per atom; density = 7.30 g cm⁻³
1.0
6.1362 0.0000 0.0000
-3.0681 5.3141 0.0000
0.0000 0.0000 7.8689
Ba Pa Re N
3 1 2 8
direct
0.0000 0.0000 0.0000 Ba
0.3333 0.6667 0.6747 Ba
0.6667 0.3333 0.3253 Ba
0.0000 0.0000 0.5000 Pa
0.3333 0.6667 0.2325 Re
0.6667 0.3333 0.7675 Re
0.1698 0.3396 0.3213 N
0.1698 0.8302 0.3213 N
0.3333 0.6667 0.0074 N
0.3396 0.1698 0.6787 N
0.6604 0.8302 0.3213 N
0.6667 0.3333 0.9926 N
0.8302 0.1698 0.6787 N
0.8302 0.6604 0.6787 N

PBE Hf4Al2Os, relaxed; total magnetic moment = 0.0 μB/f.u.; energy of formation = 0.43 eV per atom; DFT total energy = -7.9282 eV per atom; density = 9.26 g cm⁻³
1.0
-2.4748 2.4748 7.0140
2.4748 -2.4748 7.0140
2.4748 2.4748 -7.0140
Hf Al Os
4 2 1
direct
0.0000 0.5000 0.5000 Hf
0.1807 0.1807 0.0000 Hf
0.5000 0.0000 0.5000 Hf
0.8193 0.8193 0.0000 Hf
0.3785 0.3785 0.0000 Al
0.6215 0.6215 0.0000 Al
0.0000 0.0000 0.0000 Os

PBE SrPrEr2, relaxed; total magnetic moment = 0.0 μB/f.u.; energy of formation = 0.20 eV per atom; DFT total energy = -3.6984 eV per atom; density = 6.54 g cm⁻³
1.0
5.2452 0.0000 0.0000
0.0000 5.2452 0.0000
0.0000 0.0000 5.1931
Sr Pr Er
1 1 2
direct
0.0000 0.0000 0.0000 Sr
0.5000 0.5000 0.0000 Pr
0.0000 0.5000 0.5000 Er
0.5000 0.0000 0.5000 Er

PBE InFe2NiH, relaxed; total magnetic moment = 4.6 μB/f.u.; DFT total energy = -5.7278 eV per atom; density = 8.49 g cm⁻³
1.0
3.7190 0.0000 0.0000
0.0000 3.7190 0.0000
0.0000 0.0000 4.0459
In Fe Ni H
1 2 1 1
direct
0.0000 0.0000 0.0000 In
0.0000 0.5000 0.5000 Fe
0.5000 0.0000 0.5000 Fe
0.5000 0.5000 0.0000 Ni
0.5000 0.5000 0.5000 H

PBE Li2AlZnN, relaxed; total magnetic moment = 0.0 μB/f.u.; DFT total energy = -3.7649 eV per atom; density = 3.07 g cm⁻³
1.0
4.1891 0.0000 0.0000
0.0000 4.1891 0.0000
0.0000 0.0000 3.7118
Li Al Zn N
2 1 1 1
direct
0.0000 0.5000 0.0000 Li
0.5000 0.0000 0.0000 Li
0.0000 0.0000 0.5000 Al
0.5000 0.5000 0.5000 Zn
0.0000 0.0000 0.0000 N

PBE LaPm2Y5, relaxed; total magnetic moment = 0.0 μB/f.u.; energy of formation = 0.02 eV per atom; DFT total energy = -5.8224 eV per atom; density = 5.43 g cm⁻³
1.0
7.2247 0.0000 0.0000
0.0000 14.4695 0.0000
0.0000 0.0000 5.1106
La Pm Y
2 4 10
direct
0.0000 0.0000 0.0000 La
0.5000 0.5000 0.0000 La
0.2473 0.3741 0.5000 Pm
0.2527 0.8741 0.5000 Pm
0.7473 0.1259 0.5000 Pm
0.7527 0.6259 0.5000 Pm
0.0000 0.5000 0.0000 Y
0.0029 0.7485 0.0000 Y
0.2477 0.1259 0.5000 Y
0.2523 0.6259 0.5000 Y
0.4971 0.2485 0.0000 Y
0.5000 0.0000 0.0000 Y
0.5029 0.7515 0.0000 Y
0.7477 0.3741 0.5000 Y
0.7523 0.8741 0.5000 Y
0.9971 0.2515 0.0000 Y

PBE SrPtI3, relaxed; total magnetic moment = 0.0 μB/f.u.; DFT total energy = -3.1360 eV per atom; density = 6.36 g cm⁻³
1.0
5.5751 0.0000 0.0000
0.0000 5.5751 0.0000
0.0000 0.0000 5.5751
Sr Pt I
1 1 3
direct
0.0000 0.0000 0.0000 Sr
0.5000 0.5000 0.5000 Pt
0.0000 0.5000 0.5000 I
0.5000 0.0000 0.5000 I
0.5000 0.5000 0.0000 I

PBE PmSm3Tm6Th2, relaxed; total magnetic moment = 0.0 μB/f.u.; energy of formation = 0.03 eV per atom; DFT total energy = -5.0226 eV per atom; density = 9.10 g cm⁻³
1.0
3.0871 -5.3457 0.0000
3.0871 5.3457 0.0000
-2.0638 0.0000 11.4690
Pm Sm Tm Th
1 3 6 2
direct
0.0000 0.0000 0.0000 Pm
0.1661 0.8339 0.5000 Sm
0.5000 0.5000 0.5000 Sm
0.8339 0.1661 0.5000 Sm
0.0824 0.4205 0.2467 Tm
0.2556 0.2556 0.7530 Tm
0.4205 0.0824 0.2467 Tm
0.5795 0.9176 0.7533 Tm
0.7444 0.7444 0.2470 Tm
0.9176 0.5795 0.7533 Tm
0.3334 0.6666 0.0000 Th
0.6666 0.3334 0.0000 Th

PBE Ho6Si2Sn, relaxed; total magnetic moment = 0.0 μB/f.u.; DFT total energy = -5.3025 eV per atom; density = 8.34 g cm⁻³
1.0
-4.7147 4.8020 5.1189
4.7147 -4.8020 5.1189
4.7147 4.8020 -5.1189
Ho Si Sn
12 4 2
direct
0.0346 0.2406 0.7940 Ho
0.1857 0.2778 0.4635 Ho
0.1857 0.7222 0.9079 Ho
0.3206 0.0248 0.7042 Ho
0.3206 0.6164 0.2958 Ho
0.4465 0.2406 0.2060 Ho
0.5535 0.7594 0.7940 Ho
0.6794 0.3836 0.7042 Ho
0.6794 0.9752 0.2958 Ho
0.8143 0.2778 0.0921 Ho
0.8143 0.7222 0.5365 Ho
0.9654 0.7594 0.2060 Ho
0.1158 0.6158 0.5000 Si
0.3710 0.0000 0.3710 Si
0.6290 0.0000 0.6290 Si
0.8842 0.3842 0.5000 Si
0.0000 0.0000 0.0000 Sn
0.5000 0.5000 0.0000 Sn

PBE Ca2SmPaP4, relaxed; total magnetic moment = 0.0 μB/f.u.; energy of formation = -1.33 eV per atom; DFT total energy = -6.3085 eV per atom; density = 4.98 g cm⁻³
1.0
7.0695 0.0000 0.0000
0.0000 4.1247 0.0000
-2.3566 0.0000 6.6900
Ca Sm Pa P
2 1 1 4
direct
0.0000 0.0000 0.0000 Ca
0.0000 0.5000 0.5000 Ca
0.5000 0.0000 0.5000 Sm
0.5000 0.5000 0.0000 Pa
0.2664 0.5000 0.2417 P
0.2702 0.0000 0.7672 P
0.7298 0.0000 0.2328 P
0.7336 0.5000 0.7583 P

PBE La2Sb4Pt3Rh, relaxed; total magnetic moment = 0.0 μB/f.u.; DFT total energy = -6.0671 eV per atom; density = 10.44 g cm⁻³
1.0
4.6809 0.0000 0.0000
0.0000 4.6809 0.0000
0.0000 0.0000 10.5471
La Sb Pt Rh
2 4 3 1
direct
0.0000 0.5000 0.2374 La
0.5000 0.0000 0.7626 La
0.0000 0.0000 0.5000 Sb
0.0000 0.5000 0.8747 Sb
0.5000 0.0000 0.1253 Sb
0.5000 0.5000 0.5000 Sb
0.0000 0.0000 0.0000 Pt
0.0000 0.5000 0.6266 Pt
0.5000 0.0000 0.3734 Pt
0.5000 0.5000 0.0000 Rh

PBE Ca5Si3F, relaxed; total magnetic moment = 0.3 μB/f.u.; DFT total energy = -4.1844 eV per atom; density = 2.35 g cm⁻³
1.0
-3.8336 3.8336 7.3150
3.8336 -3.8336 7.3150
3.8336 3.8336 -7.3150
Ca Si F
10 6 2
direct
0.0000 0.0000 0.0000 Ca
0.0181 0.5181 0.8346 Ca
0.1835 0.0181 0.5000 Ca
0.3165 0.8165 0.8346 Ca
0.4819 0.3165 0.5000 Ca
0.5000 0.5000 0.0000 Ca
0.5181 0.6835 0.5000 Ca
0.6835 0.1835 0.1654 Ca
0.8165 0.9819 0.5000 Ca
0.9819 0.4819 0.1654 Ca
0.1115 0.3885 0.5000 Si
0.2500 0.2500 0.0000 Si
0.3885 0.8885 0.2771 Si
0.6115 0.1115 0.7229 Si
0.7500 0.7500 0.0000 Si
0.8885 0.6115 0.5000 Si
0.2500 0.7500 0.5000 F
0.7500 0.2500 0.5000 F

PBE Os7Pb, relaxed; total magnetic moment = 0.0 μB/f.u.; energy of formation = 0.70 eV per atom; DFT total energy = -9.5941 eV per atom; density = 20.89 g cm⁻³
1.0
0.0000 3.9402 3.9402
3.9402 0.0000 3.9402
3.9402 3.9402 0.0000
Os Pb
7 1
direct
0.0000 0.0000 0.0000 Os
0.0000 0.0000 0.5000 Os
0.0000 0.5000 0.0000 Os
0.0000 0.5000 0.5000 Os
0.5000 0.0000 0.0000 Os
0.5000 0.0000 0.5000 Os
0.5000 0.5000 0.0000 Os
0.5000 0.5000 0.5000 Pb